# 1
A relaxed structure of Rb2Hg2PdCl8, computed with GGA-PBEsol.

a = 6.6179 Å, b = 6.6179 Å, c = 9.6997 Å
α = 106.19°, β = 106.19°, γ = 61.08°
Sites, in units of the cell vectors:
1 Rb 0.1058 0.1058 0.3304
2 Rb 0.8942 0.8942 0.6696
3 Hg 0.3674 0.3674 0.1012
4 Hg 0.6326 0.6326 0.8988
5 Pd 0.5000 0.5000 0.5000
6 Cl 0.1309 0.6081 0.3641
7 Cl 0.1514 0.1514 0.9981
8 Cl 0.3919 0.8691 0.6359
9 Cl 0.4152 0.4152 0.8081
10 Cl 0.5848 0.5848 0.1919
11 Cl 0.6081 0.1309 0.3641
12 Cl 0.8486 0.8486 0.0019
13 Cl 0.8691 0.3919 0.6359

Results
Total moment in μB/atom: 0.014
Formation energy (no corrections) in meV per atom: -1020.0
SG: C2/m, No. 12
Crystal system: monoclinic

***

# 2
A relaxed structure of HgPdS2Cl, computed with GGA-PBEsol.

a = 4.9036 Å, b = 4.9036 Å, c = 5.0149 Å
α = 90.00°, β = 90.00°, γ = 90.00°
Sites, in units of the cell vectors:
1 Hg 0.0000 0.0000 0.0000
2 Pd 0.5000 0.5000 0.5000
3 S 0.0000 0.5000 0.0000
4 S 0.5000 0.0000 0.0000
5 Cl 0.0000 0.0000 0.5000

Results
Total moment in μB/atom: 0.353
Formation energy (no corrections) in meV per atom: 937.5
SG: P4/mmm, No. 123
Crystal system: tetragonal

***

# 3
A relaxed structure of Tl2Hg2PdCl8, computed with GGA-PBEsol.

a = 6.4849 Å, b = 6.4849 Å, c = 9.5763 Å
α = 105.69°, β = 105.69°, γ = 61.19°
Sites, in units of the cell vectors:
1 Tl 0.1029 0.1029 0.3368
2 Tl 0.8971 0.8971 0.6632
3 Hg 0.3662 0.3662 0.0972
4 Hg 0.6338 0.6338 0.9028
5 Pd 0.5000 0.5000 0.5000
6 Cl 0.1216 0.6055 0.3705
7 Cl 0.1470 0.1470 0.9964
8 Cl 0.3945 0.8784 0.6295
9 Cl 0.4135 0.4135 0.8057
10 Cl 0.5865 0.5865 0.1943
11 Cl 0.6055 0.1216 0.3705
12 Cl 0.8530 0.8530 0.0036
13 Cl 0.8784 0.3945 0.6295

Results
Total moment in μB/atom: 0.000
Formation energy (no corrections) in meV per atom: -689.7
SG: C2/m, No. 12
Crystal system: monoclinic

***

# 4
A relaxed structure of Rb2Hg2Cl, computed with GGA-PBEsol.

a = 10.2919 Å, b = 10.2919 Å, c = 10.2919 Å
α = 156.98°, β = 156.98°, γ = 32.79°
Sites, in units of the cell vectors:
1 Rb 0.0937 0.0937 0.0000
2 Rb 0.9063 0.9063 0.0000
3 Hg 0.2500 0.7500 0.5000
4 Hg 0.7500 0.2500 0.5000
5 Cl 0.5000 0.5000 0.0000

Results
Total moment in μB/atom: 0.000
Formation energy (no corrections) in meV per atom: -837.5
SG: I4/mmm, No. 139
Crystal system: tetragonal

***

# 5
A relaxed structure of Rb2HgSbCl6, computed with GGA-PBEsol.

a = 7.6372 Å, b = 7.6372 Å, c = 7.6372 Å
α = 60.00°, β = 60.00°, γ = 60.00°
Sites, in units of the cell vectors:
1 Rb 0.2500 0.2500 0.2500
2 Rb 0.7500 0.7500 0.7500
3 Hg 0.0000 0.0000 0.0000
4 Sb 0.5000 0.5000 0.5000
5 Cl 0.2581 0.2581 0.7419
6 Cl 0.2581 0.7419 0.2581
7 Cl 0.2581 0.7419 0.7419
8 Cl 0.7419 0.2581 0.2581
9 Cl 0.7419 0.2581 0.7419
10 Cl 0.7419 0.7419 0.2581

Results
Total moment in μB/atom: 0.000
Formation energy (no corrections) in meV per atom: -1183.1
SG: Fm-3m, No. 225
Crystal system: cubic

***

# 6
A relaxed structure of ReHg2Cl, computed with GGA-PBEsol.

a = 4.7293 Å, b = 4.7293 Å, c = 4.7293 Å
α = 60.00°, β = 60.00°, γ = 60.00°
Sites, in units of the cell vectors:
1 Re 0.0000 0.0000 0.0000
2 Hg 0.5000 0.5000 0.5000
3 Hg 0.7500 0.7500 0.7500
4 Cl 0.2500 0.2500 0.2500

Results
Total moment in μB/atom: 0.565
Formation energy (no corrections) in meV per atom: 1122.2
SG: F-43m, No. 216
Crystal system: cubic

***

# 7
A relaxed structure of ReHgCl2, computed with GGA-PBEsol.

a = 5.0166 Å, b = 5.0166 Å, c = 2.9617 Å
α = 90.00°, β = 90.00°, γ = 109.40°
Sites, in units of the cell vectors:
1 Re 0.0000 0.0000 0.0000
2 Hg 0.5000 0.5000 0.0000
3 Cl 0.0000 0.5000 0.5000
4 Cl 0.5000 0.0000 0.5000

Results
Total moment in μB/atom: 0.001
Energy above the lowest structure with this stoichiometry in meV per atom: 898.9
Formation energy (no corrections) in meV per atom: 1034.4
SG: Cmmm, No. 65
Crystal system: orthorhombic

***

# 8
A relaxed structure of ReHgCl2, computed with GGA-PBEsol.

a = 3.1139 Å, b = 3.1139 Å, c = 10.0040 Å
α = 90.00°, β = 90.00°, γ = 124.70°
Sites, in units of the cell vectors:
1 Re 0.0000 0.0000 0.0000
2 Hg 0.0000 0.0000 0.5000
3 Cl 0.5000 0.5000 0.1889
4 Cl 0.5000 0.5000 0.8111

Results
Total moment in μB/atom: 0.000
Energy above the lowest structure with this stoichiometry in meV per atom: 0.0
Formation energy (no corrections) in meV per atom: 135.5
SG: Cmmm, No. 65
Crystal system: orthorhombic

***

# 9
A relaxed structure of ReHgW2Cl, computed with GGA-PBEsol.

a = 4.7462 Å, b = 4.7462 Å, c = 5.2978 Å
α = 90.00°, β = 90.00°, γ = 90.00°
Sites, in units of the cell vectors:
1 Re 0.0000 0.0000 0.0000
2 Hg 0.0000 0.0000 0.5000
3 W 0.0000 0.5000 0.0000
4 W 0.5000 0.0000 0.0000
5 Cl 0.5000 0.5000 0.5000

Results
Total moment in μB/atom: 0.511
Formation energy (no corrections) in meV per atom: 1929.5
SG: P4/mmm, No. 123
Crystal system: tetragonal

***

# 10
A relaxed structure of Hg3RuCl, computed with GGA-PBEsol.

a = 5.1424 Å, b = 5.1424 Å, c = 5.1424 Å
α = 90.00°, β = 90.00°, γ = 90.00°
Sites, in units of the cell vectors:
1 Hg 0.0000 0.0000 0.5000
2 Hg 0.0000 0.5000 0.0000
3 Hg 0.5000 0.0000 0.0000
4 Ru 0.5000 0.5000 0.5000
5 Cl 0.0000 0.0000 0.0000

Results
Total moment in μB/atom: 0.508
Formation energy (no corrections) in meV per atom: 1464.8
SG: Pm-3m, No. 221
Crystal system: cubic

***

# 11
A relaxed structure of Hg2RuCl, computed with GGA-PBEsol.

a = 4.7503 Å, b = 4.7503 Å, c = 4.7503 Å
α = 60.00°, β = 60.00°, γ = 60.00°
Sites, in units of the cell vectors:
1 Hg 0.2500 0.2500 0.2500
2 Hg 0.7500 0.7500 0.7500
3 Ru 0.0000 0.0000 0.0000
4 Cl 0.5000 0.5000 0.5000

Results
Total moment in μB/atom: 0.245
Formation energy (no corrections) in meV per atom: 770.3
SG: Fm-3m, No. 225
Crystal system: cubic

***

# 12
A relaxed structure of Hg3SCl, computed with GGA-PBEsol.

a = 5.2225 Å, b = 5.2225 Å, c = 5.2225 Å
α = 90.00°, β = 90.00°, γ = 90.00°
Sites, in units of the cell vectors:
1 Hg 0.0000 0.0000 0.5000
2 Hg 0.0000 0.5000 0.0000
3 Hg 0.5000 0.0000 0.0000
4 S 0.5000 0.5000 0.5000
5 Cl 0.0000 0.0000 0.0000

Results
Total moment in μB/atom: 0.000
Formation energy (no corrections) in meV per atom: 636.9
SG: Pm-3m, No. 221
Crystal system: cubic

***

# 13
A relaxed structure of ScHgSCl2, computed with GGA-PBEsol.

a = 4.8375 Å, b = 4.8375 Å, c = 5.0898 Å
α = 90.00°, β = 90.00°, γ = 90.00°
Sites, in units of the cell vectors:
1 Sc 0.0000 0.0000 0.0000
2 Hg 0.5000 0.5000 0.5000
3 S 0.0000 0.0000 0.5000
4 Cl 0.0000 0.5000 0.0000
5 Cl 0.5000 0.0000 0.0000

Results
Total moment in μB/atom: 0.000
Formation energy (no corrections) in meV per atom: -1128.7
SG: P4/mmm, No. 123
Crystal system: tetragonal

***

# 14
A relaxed structure of HgSeS2Cl, computed with GGA-PBEsol.

a = 4.9401 Å, b = 4.9401 Å, c = 4.8577 Å
α = 90.00°, β = 90.00°, γ = 90.00°
Sites, in units of the cell vectors:
1 Hg 0.0000 0.0000 0.0000
2 Se 0.5000 0.5000 0.5000
3 S 0.0000 0.5000 0.0000
4 S 0.5000 0.0000 0.0000
5 Cl 0.0000 0.0000 0.5000

Results
Total moment in μB/atom: 0.000
Formation energy (no corrections) in meV per atom: 808.3
SG: P4/mmm, No. 123
Crystal system: tetragonal

***

# 15
A relaxed structure of SiHgSCl2, computed with GGA-PBEsol.

a = 5.0098 Å, b = 5.0098 Å, c = 5.0281 Å
α = 90.00°, β = 90.00°, γ = 90.00°
Sites, in units of the cell vectors:
1 Si 0.0000 0.0000 0.0000
2 Hg 0.5000 0.5000 0.5000
3 S 0.5000 0.5000 0.0000
4 Cl 0.0000 0.5000 0.5000
5 Cl 0.5000 0.0000 0.5000

Results
Total moment in μB/atom: 0.046
Formation energy (no corrections) in meV per atom: 467.1
SG: P4/mmm, No. 123
Crystal system: tetragonal

***

# 16
A relaxed structure of TlHgS2Cl, computed with GGA-PBEsol.

a = 4.9164 Å, b = 4.9164 Å, c = 5.3624 Å
α = 90.00°, β = 90.00°, γ = 90.00°
Sites, in units of the cell vectors:
1 Tl 0.0000 0.0000 0.0000
2 Hg 0.5000 0.5000 0.5000
3 S 0.0000 0.5000 0.5000
4 S 0.5000 0.0000 0.5000
5 Cl 0.5000 0.5000 0.0000

Results
Total moment in μB/atom: 0.000
Formation energy (no corrections) in meV per atom: 133.2
SG: P4/mmm, No. 123
Crystal system: tetragonal

***

# 17
A relaxed structure of HgWSCl2, computed with GGA-PBEsol.

a = 4.9448 Å, b = 4.9448 Å, c = 5.0918 Å
α = 90.00°, β = 90.00°, γ = 90.00°
Sites, in units of the cell vectors:
1 Hg 0.0000 0.0000 0.0000
2 W 0.5000 0.5000 0.5000
3 S 0.0000 0.0000 0.5000
4 Cl 0.0000 0.5000 0.0000
5 Cl 0.5000 0.0000 0.0000

Results
Total moment in μB/atom: 0.853
Formation energy (no corrections) in meV per atom: 1309.6
SG: P4/mmm, No. 123
Crystal system: tetragonal

***

# 18
A relaxed structure of Hg2SbCl, computed with GGA-PBEsol.

a = 3.4313 Å, b = 3.4313 Å, c = 8.7297 Å
α = 90.00°, β = 90.00°, γ = 110.78°
Sites, in units of the cell vectors:
1 Hg 0.0000 0.0000 0.2373
2 Hg 0.0000 0.0000 0.7627
3 Sb 0.5000 0.5000 0.5000
4 Cl 0.5000 0.5000 0.0000

Results
Total moment in μB/atom: 0.000
Energy above the lowest structure with this stoichiometry in meV per atom: 91.2
Formation energy (no corrections) in meV per atom: -55.0
SG: Cmmm, No. 65
Crystal system: orthorhombic

***

# 19
A relaxed structure of Hg2SbCl, computed with GGA-PBEsol.

a = 9.3204 Å, b = 9.3204 Å, c = 9.3204 Å
α = 21.50°, β = 21.50°, γ = 21.50°
Sites, in units of the cell vectors:
1 Hg 0.0000 0.0000 0.0000
2 Hg 0.2542 0.2542 0.2542
3 Sb 0.5027 0.5027 0.5027
4 Cl 0.7370 0.7370 0.7370

Results
Total moment in μB/atom: 0.000
Energy above the lowest structure with this stoichiometry in meV per atom: 66.1
Formation energy (no corrections) in meV per atom: -80.1
SG: R3m, No. 160
Crystal system: trigonal

***

# 20
A relaxed structure of Hg2SbCl, computed with GGA-PBEsol.

a = 7.0752 Å, b = 7.0752 Å, c = 7.0752 Å
α = 154.24°, β = 139.77°, γ = 48.39°
Sites, in units of the cell vectors:
1 Hg 0.2125 0.2125 0.0000
2 Hg 0.7875 0.7875 0.0000
3 Sb 0.0000 0.5000 0.5000
4 Cl 0.5000 0.0000 0.5000

Results
Total moment in μB/atom: 0.000
Energy above the lowest structure with this stoichiometry in meV per atom: 92.8
Formation energy (no corrections) in meV per atom: -53.4
SG: Immm, No. 71
Crystal system: orthorhombic

***

no.,uncorrected energy (eV/atom),DOS at the Fermi energy (states/eV per cell)
1,-2.96,0.0
2,-2.52,6.1
3,-2.88,0.0
4,-1.88,1.3
5,-3.11,2.4
6,-3.00,1.6
7,-3.44,3.9
8,-4.34,2.4
9,-6.77,5.2
10,-1.31,8.8
11,-2.56,3.4
12,-0.98,3.0
13,-4.24,2.0
14,-2.23,4.1
15,-2.48,2.1
16,-2.66,5.6
17,-3.25,5.9
18,-1.98,1.5
19,-2.00,1.1
20,-1.98,2.0